The following is a DFT calculation (PBE) of a relaxed structure of TaTe3S.

Results
Density in g/cm³: 6.5
Magnetic moment in Bohr magnetons per cell: 0.0
Formation energy (no corrections) in eV/atom: 0.516

a = 5.3356 Å, b = 5.3356 Å, c = 5.3356 Å
α = 90.00°, β = 90.00°, γ = 90.00°
Closest atoms and distances in Å follow each position.
Element x y z (fractional)
Ta1 0.0000 0.0000 0.0000  6 Te 2.67
Te1 0.0000 0.0000 0.5000  2 Ta 2.67
Te2 0.0000 0.5000 0.0000  2 Ta 2.67
Te3 0.5000 0.0000 0.0000  2 Ta 2.67
S1 0.5000 0.5000 0.5000  12 Te 3.77

The following is a DFT calculation (PBE) of a relaxed structure of Tb6Dy2Er3Pb.

Results
Density in g/cm³: 8.9
DFT formation energy in eV/atom: -0.0511
Magnetic moment in Bohr magnetons per cell: 0.0

a = 6.0888 Å, b = 6.0888 Å, c = 11.6761 Å
α = 94.99°, β = 94.99°, γ = 120.02°
Closest atoms and distances in Å follow each position.
Element x y z (fractional)
Tb1 0.0835 0.4125 0.7498  6 Tb 3.47-3.54, 1 Pb 3.50, 3 Er 3.51-3.53, 2 Dy 3.52-3.53
Tb2 0.2454 0.2454 0.2489  6 Tb 3.47-3.54, 3 Er 3.51-3.52, 1 Pb 3.51, 2 Dy 3.53
Tb3 0.4125 0.0835 0.7498  6 Tb 3.47-3.54, 1 Pb 3.50, 3 Er 3.51-3.53, 2 Dy 3.52-3.53
Tb4 0.5875 0.9165 0.2502  6 Tb 3.47-3.54, 1 Pb 3.50, 3 Er 3.51-3.53, 2 Dy 3.52-3.53
Tb5 0.7546 0.7546 0.7511  6 Tb 3.47-3.54, 3 Er 3.51-3.52, 1 Pb 3.51, 2 Dy 3.53
Tb6 0.9165 0.5875 0.2502  6 Tb 3.47-3.54, 1 Pb 3.50, 3 Er 3.51-3.53, 2 Dy 3.52-3.53
Dy1 0.3339 0.6661 0.5000  3 Dy 3.50-3.52, 3 Pb 3.51-3.52, 6 Tb 3.52-3.53
Dy2 0.6661 0.3339 0.5000  3 Dy 3.50-3.52, 3 Pb 3.51-3.52, 6 Tb 3.52-3.53
Er1 0.1676 0.8324 0.0000  6 Er 3.50-3.54, 6 Tb 3.51-3.53
Er2 0.5000 0.5000 0.0000  6 Er 3.51-3.52, 6 Tb 3.51-3.52
Er3 0.8324 0.1676 0.0000  6 Er 3.50-3.54, 6 Tb 3.51-3.53
Pb1 0.0000 0.0000 0.5000  6 Tb 3.50-3.51, 6 Dy 3.51-3.52

The following is a DFT calculation (PBE) of a relaxed structure of Ti4NiPd.

Results
Density in g/cm³: 6.4
DFT formation energy in eV/atom: -0.3714
Magnetic moment in Bohr magnetons per cell: 0.0

a = 3.0609 Å, b = 3.0609 Å, c = 9.8942 Å
α = 90.00°, β = 90.00°, γ = 90.00°
Closest atoms and distances in Å follow each position.
Element x y z (fractional)
Ti1 0.0000 0.0000 0.1517  4 Ni 2.63, 4 Ti 2.79
Ti2 0.0000 0.0000 0.8483  4 Ni 2.63, 4 Ti 2.79
Ti3 0.5000 0.5000 0.3290  4 Pd 2.75, 8 Ti 2.79-3.06
Ti4 0.5000 0.5000 0.6710  4 Pd 2.75, 8 Ti 2.79-3.06
Ni1 0.5000 0.5000 0.0000  8 Ti 2.63
Pd1 0.0000 0.0000 0.5000  8 Ti 2.75, 4 Pd 3.06